1.
{"formula": "TlPbW2", "functional": "meta-GGA SCAN", "state": "PBEsol geometry", "cell": [[-1.120, -0.892, -4.591], [-3.115, -3.501, -1.079], [-4.374, 1.102, -1.666]], "species": ["W", "W", "Pb", "Tl"], "fractional_positions": [[0.750, 0.750, 0.750], [0.000, 0.000, 0.000], [0.500, 0.500, 0.500], [0.250, 0.250, 0.250]], "spacegroup": "F-43m (216)", "relative_energy_mev_per_atom": 412.2}

2.
{"formula": "TlPbW2", "functional": "meta-GGA SCAN", "state": "PBEsol geometry", "cell": [[3.009, 0.000, 0.000], [0.000, 4.377, 0.000], [0.000, 0.000, 6.352]], "species": ["Pb", "Tl", "W", "W"], "fractional_positions": [[0.500, 0.500, 0.000], [0.500, 0.500, 0.500], [0.000, 0.000, 0.690], [0.000, 0.000, 0.310]], "spacegroup": "Pmmm (47)", "relative_energy_mev_per_atom": 370.7}

3.
{"formula": "TlPb2W", "functional": "meta-GGA SCAN", "state": "PBEsol geometry", "cell": [[5.147, 0.000, 0.000], [2.574, 4.457, 0.000], [2.574, 1.486, 4.203]], "species": ["Pb", "Pb", "W", "Tl"], "fractional_positions": [[0.250, 0.250, 0.250], [0.750, 0.750, 0.750], [0.500, 0.500, 0.500], [0.000, 0.000, 0.000]], "spacegroup": "Fm-3m (225)", "relative_energy_mev_per_atom": 457.1}

4.
{"formula": "TlPb2W", "functional": "meta-GGA SCAN", "state": "PBEsol geometry", "cell": [[3.119, 0.000, 0.000], [0.000, 5.487, 0.000], [0.000, 0.000, 5.487]], "species": ["Tl", "Pb", "Pb", "W"], "fractional_positions": [[0.500, 0.500, 0.500], [0.000, 0.500, 0.000], [0.000, 0.000, 0.500], [0.500, 0.000, 0.000]], "spacegroup": "P4/mmm (123)", "relative_energy_mev_per_atom": 419.6}

5.
{"formula": "TlPb2W", "functional": "meta-GGA SCAN", "state": "PBEsol geometry", "cell": [[3.046, 0.000, 0.000], [0.000, 4.816, 0.000], [-1.523, -2.408, 7.009]], "species": ["Pb", "Pb", "W", "Tl"], "fractional_positions": [[0.748, 0.248, 0.496], [0.936, 0.936, 0.871], [0.252, 0.752, 0.504], [0.564, 0.564, 0.129]], "spacegroup": "Imm2 (44)", "relative_energy_mev_per_atom": 0.0}

6.
{"formula": "TlPb2W", "functional": "meta-GGA SCAN", "state": "PBEsol geometry", "cell": [[3.041, 0.000, 0.000], [0.000, 3.041, 0.000], [0.000, 0.000, 10.590]], "species": ["Pb", "Pb", "W", "Tl"], "fractional_positions": [[0.000, 0.000, 0.953], [0.500, 0.500, 0.263], [0.500, 0.500, 0.746], [0.000, 0.000, 0.538]], "spacegroup": "P4mm (99)", "relative_energy_mev_per_atom": 122.7}

7.
{"formula": "TlPbW2", "functional": "meta-GGA SCAN", "state": "PBEsol geometry", "cell": [[-1.705, 2.126, -1.781], [-4.392, -2.388, 1.355], [2.090, 2.731, 4.236]], "species": ["W", "W", "Tl", "Pb"], "fractional_positions": [[0.287, 0.739, 0.574], [0.965, 0.015, 0.929], [0.732, 0.194, 0.463], [0.517, 0.552, 0.033]], "spacegroup": "Cm (8)", "relative_energy_mev_per_atom": 0.0}

8.
{"formula": "TlPb2W", "functional": "meta-GGA SCAN", "state": "PBEsol geometry", "cell": [[3.524, 0.000, 0.000], [0.000, 5.106, 0.000], [0.000, 0.000, 5.106]], "species": ["W", "Pb", "Pb", "Tl"], "fractional_positions": [[0.500, 0.000, 0.000], [0.000, 0.000, 0.500], [0.000, 0.500, 0.000], [0.500, 0.500, 0.500]], "spacegroup": "P4/mmm (123)", "relative_energy_mev_per_atom": 465.0}

9.
{"formula": "YTlPb2", "functional": "meta-GGA SCAN", "state": "PBEsol geometry", "cell": [[3.877, 0.000, 0.000], [0.000, 5.198, 0.000], [-1.938, -2.599, 5.416]], "species": ["Pb", "Pb", "Tl", "Y"], "fractional_positions": [[0.000, 0.000, 0.999], [0.754, 0.254, 0.508], [0.500, 0.500, 0.000], [0.246, 0.746, 0.493]], "spacegroup": "Imm2 (44)", "dft_energy_ev_per_atom": -63.2739}

10.
{"formula": "YTlPb2", "functional": "meta-GGA SCAN", "state": "PBEsol geometry", "cell": [[3.656, 0.000, 0.000], [0.000, 5.484, 0.000], [0.000, 0.000, 5.484]], "species": ["Pb", "Pb", "Y", "Tl"], "fractional_positions": [[0.000, 0.000, 0.500], [0.000, 0.500, 0.000], [0.500, 0.000, 0.000], [0.500, 0.500, 0.500]], "spacegroup": "P4/mmm (123)", "dft_energy_ev_per_atom": -63.2956}

11.
{"formula": "YTlPb2", "functional": "meta-GGA SCAN", "state": "PBEsol geometry", "cell": [[3.519, 0.000, 0.000], [0.000, 5.695, -0.051], [0.000, -1.497, 5.495]], "species": ["Tl", "Pb", "Pb", "Y"], "fractional_positions": [[0.500, 0.000, 0.000], [0.000, 0.000, 0.500], [0.000, 0.500, 0.000], [0.500, 0.500, 0.500]], "spacegroup": "Cmmm (65)", "dft_energy_ev_per_atom": -63.3069}

12.
{"formula": "YTlPb2", "functional": "meta-GGA SCAN", "state": "PBEsol geometry", "cell": [[-1.576, 3.208, -0.155], [-2.149, -1.248, -3.964], [-5.114, -2.341, 3.509]], "species": ["Y", "Tl", "Pb", "Pb"], "fractional_positions": [[0.500, 0.500, 0.500], [0.500, 0.500, 0.000], [0.000, 0.000, 0.741], [0.000, 0.000, 0.259]], "spacegroup": "Pmmm (47)", "dft_energy_ev_per_atom": -63.3139}

13.
{"formula": "YTlPb2", "functional": "meta-GGA SCAN", "state": "PBEsol geometry", "cell": [[-1.364, 2.590, -3.508], [-3.155, -3.124, -1.080], [-1.133, 2.633, 5.359]], "species": ["Pb", "Pb", "Tl", "Y"], "fractional_positions": [[0.000, 0.000, 0.000], [0.750, 0.250, 0.500], [0.500, 0.500, 0.000], [0.250, 0.750, 0.500]], "spacegroup": "I-4m2 (119)", "dft_energy_ev_per_atom": -63.3154}

14.
{"formula": "TlZn2Pb", "functional": "meta-GGA SCAN", "state": "PBEsol geometry", "cell": [[-2.919, -1.883, -2.120], [2.922, -1.909, -2.327], [1.612, -2.958, 4.451]], "species": ["Tl", "Pb", "Zn", "Zn"], "fractional_positions": [[0.225, 0.500, 0.825], [0.527, 0.000, 0.425], [0.802, 0.000, 0.983], [0.947, 0.500, 0.267]], "spacegroup": "Pm (6)", "dft_energy_ev_per_atom": -43.6419}

15.
{"formula": "TlZnPb", "functional": "meta-GGA SCAN", "state": "PBEsol geometry", "cell": [[4.961, 0.000, 0.000], [2.481, 4.297, 0.000], [2.481, 1.432, 4.051]], "species": ["Pb", "Zn", "Tl"], "fractional_positions": [[0.250, 0.250, 0.250], [0.500, 0.500, 0.500], [0.000, 0.000, 0.000]], "spacegroup": "F-43m (216)", "relative_energy_mev_per_atom": 0.0}

16.
{"formula": "TlZn2Pb", "functional": "meta-GGA SCAN", "state": "PBEsol geometry", "cell": [[-4.080, 0.659, -0.957], [-0.559, -4.177, -0.490], [1.134, 1.358, 5.499]], "species": ["Zn", "Zn", "Pb", "Tl"], "fractional_positions": [[0.000, 0.000, 0.000], [0.750, 0.250, 0.500], [0.500, 0.500, 0.000], [0.250, 0.750, 0.500]], "spacegroup": "I-4m2 (119)", "dft_energy_ev_per_atom": -43.5049}

17.
{"formula": "Tl2Zn2Pb", "functional": "meta-GGA SCAN", "state": "PBEsol geometry", "cell": [[-3.227, -2.072, 2.142], [-0.225, -2.979, -3.220], [5.888, -0.942, 3.454]], "species": ["Zn", "Zn", "Tl", "Tl", "Pb"], "fractional_positions": [[0.403, 0.403, 0.806], [0.597, 0.597, 0.194], [0.250, 0.750, 0.500], [0.750, 0.250, 0.500], [0.000, 0.000, 0.000]], "spacegroup": "I4/mmm (139)", "dft_energy_ev_per_atom": -49.2852}

18.
{"formula": "TlZn2Pb", "functional": "meta-GGA SCAN", "state": "PBEsol geometry", "cell": [[3.521, 0.000, 0.000], [1.761, 3.050, 0.000], [1.761, 1.017, 8.361]], "species": ["Zn", "Zn", "Tl", "Pb"], "fractional_positions": [[0.748, 0.748, 0.756], [0.252, 0.252, 0.244], [0.000, 0.000, 0.000], [0.500, 0.500, 0.500]], "spacegroup": "R-3m (166)", "dft_energy_ev_per_atom": -43.5628}

19.
{"formula": "ZrTlPb2", "functional": "meta-GGA SCAN", "state": "PBEsol geometry", "cell": [[3.520, 0.000, 0.000], [0.000, 4.430, 0.000], [0.000, 0.000, 6.456]], "species": ["Pb", "Pb", "Zr", "Tl"], "fractional_positions": [[0.000, 0.000, 0.979], [0.500, 0.500, 0.260], [0.500, 0.500, 0.752], [0.000, 0.000, 0.509]], "spacegroup": "Pmm2 (25)", "relative_energy_mev_per_atom": 0.0}

20.
{"formula": "Zr2TlPb", "functional": "meta-GGA SCAN", "state": "PBEsol geometry", "cell": [[4.267, 0.000, 0.000], [0.000, 4.267, 0.000], [-2.134, -2.134, 4.968]], "species": ["Tl", "Pb", "Zr", "Zr"], "fractional_positions": [[0.250, 0.750, 0.500], [0.000, 0.000, 0.000], [0.750, 0.250, 0.500], [0.500, 0.500, 0.000]], "spacegroup": "I-4m2 (119)", "relative_energy_mev_per_atom": 4.2}

Volume for the records above, in order: 19.66, 20.92, 24.10, 23.47, 25.71, 24.49, 20.40, 22.97, 27.28, 27.49, 27.46, 27.74, 26.86, 22.07, 28.78, 22.21, 23.74, 22.45, 25.17, 22.61 A^3/atom
DOS at the Fermi energy for the records above, in order: 4.51, 2.86, 3.35, 3.35, 1.33, 2.46, 2.06, 3.76, 2.33, 2.03, 2.25, 1.79, 1.99, 1.40, 1.79, 1.83, 1.87, 1.37, 2.16, 2.27 states/eV per cell